Record 1
An optimized crystal structure of SrNdGe2, computed with PBE.

Computed properties:
space group	Amm2 (38)
raw total energy	-15.4	eV/f.u.
V	31.92	Å³/atom

Cell: 3.4594 6.7833 6.7833 Å, 53.34 90.00 90.00°
Last column: nearest neighbours and their distance in Å.
Positions (direct):
Sr  0.0000  0.0000  0.0000  3 Ge 3.08-3.09
Nd  0.0000  0.6944  0.6944  3 Ge 2.88-3.13
Ge  0.0000  0.2541  0.2541  1 Ge 2.46
Ge  0.0000  0.4572  0.4572  1 Ge 2.46



Record 2
An optimized crystal structure of NdTaGe, computed with PBE.

Computed properties:
space group	F-43m (216)
raw total energy	-20.7	eV/f.u.
V	24.07	Å³/atom

Cell: 4.6744 4.6744 4.6744 Å, 60.00 60.00 60.00°
Last column: nearest neighbours and their distance in Å.
Positions (direct):
Nd  0.0000  0.0000  0.0000  4 Ge 2.86
Ta  0.5000  0.5000  0.5000  4 Ge 2.86
Ge  0.2500  0.2500  0.2500  4 Ta 2.86, 4 Nd 2.86



Record 3
An optimized crystal structure of TbNd2Ge7, computed with PBE.

Computed properties:
space group	Cmmm (65)
raw total energy	-52.0	eV/f.u.
V	21.99	Å³/atom

Cell: 13.2685 13.2685 4.1671 Å, 90.00 90.00 162.56°
Last column: nearest neighbours and their distance in Å.
Positions (direct):
Tb  0.0000  0.0000  0.0000  12 Ge 2.90-3.13
Nd  0.3175  0.6825  0.5000  10 Ge 3.05-3.31
Nd  0.6825  0.3175  0.5000  10 Ge 3.05-3.31
Ge  0.0889  0.9111  0.5000  6 Ge 2.90-3.08, 2 Tb 3.13, 2 Nd 3.17
Ge  0.2194  0.7806  0.0000  2 Ge 2.57
Ge  0.4090  0.5910  0.0000  6 Ge 2.90-3.17, 2 Tb 3.12, 2 Nd 3.18
Ge  0.5000  0.5000  0.5000  4 Tb 2.90, 8 Ge 3.08-3.17
Ge  0.5910  0.4090  0.0000  6 Ge 2.90-3.17, 2 Tb 3.12, 2 Nd 3.18
Ge  0.7806  0.2194  0.0000  2 Ge 2.57
Ge  0.9111  0.0889  0.5000  6 Ge 2.90-3.08, 2 Tb 3.13, 2 Nd 3.17



Record 4
An optimized crystal structure of TbNdGe2, computed with PBE.

Computed properties:
space group	Cmcm (63)
raw total energy	-21.0	eV/f.u.
V	24.87	Å³/atom
polymorph energy (0 for the lowest one)	0	meV per atom

Cell: 10.3147 10.3147 4.5126 Å, 90.00 90.00 155.51°
Last column: nearest neighbours and their distance in Å.
Positions (direct):
Tb  0.2480  0.7520  0.7500  4 Ge 2.99, 4 Tb 3.14
Tb  0.7520  0.2480  0.2500  4 Ge 2.99, 4 Tb 3.14
Nd  0.4101  0.5899  0.2500  10 Ge 3.23-3.38
Nd  0.5899  0.4101  0.7500  10 Ge 3.23-3.38
Ge  0.0281  0.9719  0.2500  3 Ge 2.47-2.53
Ge  0.1509  0.8491  0.2500  1 Ge 2.47
Ge  0.8491  0.1509  0.7500  1 Ge 2.47
Ge  0.9719  0.0281  0.7500  3 Ge 2.47-2.53



Record 5
An optimized crystal structure of TbNdGe2, computed with PBE.

Computed properties:
space group	Amm2 (38)
raw total energy	-18.5	eV/f.u.
V	28.34	Å³/atom
polymorph energy (0 for the lowest one)	633	meV per atom

Cell: 3.3024 6.4968 6.4968 Å, 54.43 90.00 90.00°
Last column: nearest neighbours and their distance in Å.
Positions (direct):
Tb  0.0000  0.0000  0.0000  3 Ge 2.80-3.02
Nd  0.0000  0.7020  0.7020  3 Ge 2.87-3.01
Ge  0.0000  0.2423  0.2423  1 Ge 2.44
Ge  0.0000  0.4535  0.4535  1 Ge 2.44



Record 6
An optimized crystal structure of Tb2NdGe7, computed with PBE.

Computed properties:
space group	Cmmm (65)
raw total energy	-51.6	eV/f.u.
V	21.32	Å³/atom

Cell: 12.9034 12.9034 4.1579 Å, 90.00 90.00 162.06°
Last column: nearest neighbours and their distance in Å.
Positions (direct):
Tb  0.1862  0.8138  0.0000  10 Ge 3.00-3.22
Tb  0.8138  0.1862  0.0000  10 Ge 3.00-3.22
Nd  0.5000  0.5000  0.5000  12 Ge 2.89-3.18
Ge  0.0000  0.0000  0.0000  4 Nd 2.89, 8 Ge 3.14-3.22
Ge  0.0967  0.9033  0.5000  6 Ge 2.89-3.22, 2 Tb 3.09, 2 Nd 3.18
Ge  0.2828  0.7172  0.5000  2 Ge 2.61
Ge  0.4054  0.5946  0.0000  6 Ge 2.89-3.14, 2 Tb 3.08, 2 Nd 3.18
Ge  0.5946  0.4054  0.0000  6 Ge 2.89-3.14, 2 Tb 3.08, 2 Nd 3.18
Ge  0.7172  0.2828  0.5000  2 Ge 2.61
Ge  0.9033  0.0967  0.5000  6 Ge 2.89-3.22, 2 Tb 3.09, 2 Nd 3.18



Record 7
An optimized crystal structure of TbNdZn2Ge2, computed with PBE.

Computed properties:
space group	P6_3/mmc (194)
raw total energy	-25.3	eV/f.u.
V	21.31	Å³/atom
polymorph energy (0 for the lowest one)	0	meV per atom

Cell: 4.2772 4.2772 16.1425 Å, 90.00 90.00 120.00°
Last column: nearest neighbours and their distance in Å.
Positions (direct):
Tb  0.0000  0.0000  0.2500  6 Zn 2.96, 6 Ge 3.25
Tb  0.0000  0.0000  0.7500  6 Zn 2.96, 6 Ge 3.25
Nd  0.0000  0.0000  0.0000  6 Ge 3.13, 6 Zn 3.44
Nd  0.0000  0.0000  0.5000  6 Ge 3.13, 6 Zn 3.44
Zn  0.3333  0.6667  0.1488  3 Ge 2.52
Zn  0.3333  0.6667  0.3512  3 Ge 2.52
Zn  0.6667  0.3333  0.6488  3 Ge 2.52
Zn  0.6667  0.3333  0.8512  3 Ge 2.52
Ge  0.3333  0.6667  0.6189  3 Zn 2.52
Ge  0.3333  0.6667  0.8811  3 Zn 2.52
Ge  0.6667  0.3333  0.1189  3 Zn 2.52
Ge  0.6667  0.3333  0.3811  3 Zn 2.52



Record 8
An optimized crystal structure of Nd4GeTe3, computed with PBE.

Computed properties:
space group	Cmmm (65)
raw total energy	-44.0	eV/f.u.
V	31.47	Å³/atom

Cell: 7.7571 7.7571 4.4271 Å, 90.00 90.00 109.06°
Last column: nearest neighbours and their distance in Å.
Positions (direct):
Nd  0.2275  0.2275  0.5000  2 Ge 3.02, 4 Te 3.17-3.30
Nd  0.2356  0.7644  0.0000  1 Ge 2.98, 4 Te 3.16
Nd  0.7644  0.2356  0.0000  1 Ge 2.98, 4 Te 3.16
Nd  0.7725  0.7725  0.5000  2 Ge 3.02, 4 Te 3.17-3.30
Ge  0.0000  0.0000  0.0000  6 Nd 2.98-3.02
Te  0.0000  0.5000  0.5000  6 Nd 3.16-3.17
Te  0.5000  0.0000  0.5000  6 Nd 3.16-3.17
Te  0.5000  0.5000  0.0000  6 Nd 3.30-3.34



Record 9
An optimized crystal structure of NdGeTe, computed with PBE.

Computed properties:
space group	F-43m (216)
raw total energy	-13.5	eV/f.u.
V	32.37	Å³/atom
polymorph energy (0 for the lowest one)	11	meV per atom

Cell: 5.1596 5.1596 5.1596 Å, 60.00 60.00 60.00°
Last column: nearest neighbours and their distance in Å.
Positions (direct):
Nd  0.0000  0.0000  0.0000  4 Ge 3.16, 4 Te 3.16
Ge  0.7500  0.7500  0.7500  4 Nd 3.16
Te  0.2500  0.2500  0.2500  4 Nd 3.16



Record 10
An optimized crystal structure of NdGeTe, computed with PBE.

Computed properties:
space group	F-43m (216)
raw total energy	-13.6	eV/f.u.
V	31.25	Å³/atom
polymorph energy (0 for the lowest one)	0	meV per atom

Cell: 5.0991 5.0991 5.0991 Å, 60.00 60.00 60.00°
Last column: nearest neighbours and their distance in Å.
Positions (direct):
Nd  0.0000  0.0000  0.0000  4 Te 3.12
Ge  0.5000  0.5000  0.5000  4 Te 3.12
Te  0.7500  0.7500  0.7500  4 Ge 3.12, 4 Nd 3.12



Record 11
An optimized crystal structure of Nd6GeTe5, computed with PBE.

Computed properties:
space group	C2/m (12)
raw total energy	-65.7	eV/f.u.
V	31.76	Å³/atom

Cell: 7.7433 7.7433 7.7701 Å, 99.55 99.55 119.90°
Last column: nearest neighbours and their distance in Å.
Positions (direct):
Nd  0.0771  0.3886  0.7339  1 Ge 2.96, 4 Te 3.17-3.19
Nd  0.2301  0.2301  0.2621  1 Ge 2.96, 4 Te 3.18-3.21
Nd  0.3886  0.0771  0.7339  1 Ge 2.96, 4 Te 3.17-3.19
Nd  0.6114  0.9229  0.2661  1 Ge 2.96, 4 Te 3.17-3.19
Nd  0.7699  0.7699  0.7379  1 Ge 2.96, 4 Te 3.18-3.21
Nd  0.9229  0.6114  0.2661  1 Ge 2.96, 4 Te 3.17-3.19
Ge  0.0000  0.0000  0.5000  6 Nd 2.96
Te  0.1733  0.8267  0.0000  6 Nd 3.17-3.31
Te  0.3348  0.6652  0.5000  6 Nd 3.18-3.19
Te  0.5000  0.5000  0.0000  6 Nd 3.18-3.37
Te  0.6652  0.3348  0.5000  6 Nd 3.18-3.19
Te  0.8267  0.1733  0.0000  6 Nd 3.17-3.31



Record 12
An optimized crystal structure of NdTlGeTe3, computed with PBE.

Computed properties:
space group	Cmcm (63)
raw total energy	-25.0	eV/f.u.
V	35.56	Å³/atom

Cell: 7.9084 7.9084 11.9908 Å, 90.00 90.00 145.31°
Last column: nearest neighbours and their distance in Å.
Positions (direct):
Nd  0.0000  0.0000  0.0000  6 Te 3.23-3.24
Nd  0.0000  0.0000  0.5000  6 Te 3.23-3.24
Tl  0.2491  0.7509  0.7500  6 Te 3.49-3.71
Tl  0.7509  0.2491  0.2500  6 Te 3.49-3.71
Ge  0.4670  0.5330  0.2500  4 Te 2.85-2.91
Ge  0.5330  0.4670  0.7500  4 Te 2.85-2.91
Te  0.0801  0.9199  0.2500  2 Ge 2.91, 2 Nd 3.23
Te  0.3597  0.6403  0.0543  1 Ge 2.85
Te  0.3597  0.6403  0.4457  1 Ge 2.85
Te  0.6403  0.3597  0.5543  1 Ge 2.85
Te  0.6403  0.3597  0.9457  1 Ge 2.85
Te  0.9199  0.0801  0.7500  2 Ge 2.91, 2 Nd 3.23